# Mg3GaSn3 PBE optimized geometry
data_Mg3GaSn3
_symmetry_space_group_name_H-M 'P 1'
_symmetry_Int_Tables_number 1
_cell_length_a 7.9714
_cell_length_b 7.9714
_cell_length_c 7.9714
_cell_angle_alpha 90.00
_cell_angle_beta 90.00
_cell_angle_gamma 90.00
loop_
_symmetry_equiv_pos_as_xyz
'x,y,z'
loop_
_atom_site_label
_atom_site_fract_x
_atom_site_fract_y
_atom_site_fract_z
Mg1 0.2500 0.0000 0.5000
Mg2 0.0000 0.5000 0.2500
Mg3 0.5000 0.7500 0.0000
Mg4 0.7500 0.0000 0.5000
Mg5 0.0000 0.5000 0.7500
Mg6 0.5000 0.2500 0.0000
Sn1 0.0000 0.2500 0.5000
Sn2 0.0000 0.7500 0.5000
Sn3 0.5000 0.0000 0.7500
Sn4 0.7500 0.5000 0.0000
Sn5 0.5000 0.0000 0.2500
Sn6 0.2500 0.5000 0.0000
Ga1 0.5000 0.5000 0.5000
Ga2 0.0000 0.0000 0.0000
# **V**: 36.2 A^3/atom
# **DFT formation energy**: 0.484 eV/atom
# **Polymorph energy (0 for the lowest one)**: 0.504 eV per atom
# **VASP energy**: -2.35 eV per atom